[1]
## TbAl2Si (PBE-GGA)

Data for TbAl2Si after structural relaxation.

abc: 5.6404 5.6404 5.6404
angles: 45.00 45.00 45.00
Closest atoms and distances in Å follow each position.
Positions (direct):
Tb (0.0000, 0.0000, 0.0000)  8 Al 3.11-3.20
Al (0.2109, 0.2109, 0.2109)  3 Si 2.58, 3 Al 2.83
Al (0.7891, 0.7891, 0.7891)  3 Si 2.58, 3 Al 2.83
Si (0.5000, 0.5000, 0.5000)  6 Al 2.58

Output
SG = R-3m, No. 166
Crystal system = trigonal
Density of states at the Fermi level = 0.79 states/eV/atom
Raw total energy = -18.3 eV/f.u.

***

[2]
## Tb3Al2Si4 (PBE-GGA)

Data for Tb3Al2Si4 after structural relaxation.

abc: 5.7527 5.7527 8.1886
angles: 102.32 102.32 42.61
Closest atoms and distances in Å follow each position.
Positions (direct):
Tb (0.0000, 0.0000, 0.0000)  8 Si 3.11-3.13, 4 Al 3.12
Tb (0.3361, 0.3361, 0.3285)  8 Si 3.01-3.14, 4 Al 3.10-3.15
Tb (0.6639, 0.6639, 0.6715)  8 Si 3.01-3.14, 4 Al 3.10-3.15
Al (0.3866, 0.3866, 0.7230)  3 Si 2.41-2.42
Al (0.6134, 0.6134, 0.2770)  3 Si 2.41-2.42
Si (0.0595, 0.0595, 0.3922)  1 Si 2.40, 2 Al 2.42
Si (0.2795, 0.2795, 0.9515)  2 Si 2.37, 1 Al 2.41
Si (0.7205, 0.7205, 0.0485)  2 Si 2.37, 1 Al 2.41
Si (0.9405, 0.9405, 0.6078)  1 Si 2.40, 2 Al 2.42

Output
SG = C2/m, No. 12
Crystal system = monoclinic
Density of states at the Fermi level = 0.45 states/eV/atom
Raw total energy = -48.2 eV/f.u.

***

[3]
## Tb2Al3Si2 (PBE-GGA)

Data for Tb2Al3Si2 after structural relaxation.

abc: 9.4756 9.4756 4.0462
angles: 90.00 90.00 157.02
Closest atoms and distances in Å follow each position.
Positions (direct):
Tb (0.1642, 0.8358, 0.0000)  6 Si 2.90-3.08, 1 Al 3.05
Tb (0.8358, 0.1642, 0.0000)  6 Si 2.90-3.08, 1 Al 3.05
Al (0.0000, 0.0000, 0.0000)  2 Tb 3.05, 8 Al 3.06
Al (0.4293, 0.5707, 0.5000)  1 Si 2.60, 1 Al 2.63
Al (0.5707, 0.4293, 0.5000)  1 Si 2.60, 1 Al 2.63
Si (0.2896, 0.7104, 0.5000)  2 Si 2.39, 1 Al 2.60
Si (0.7104, 0.2896, 0.5000)  2 Si 2.39, 1 Al 2.60

Output
SG = Cmmm, No. 65
Crystal system = orthorhombic
Density of states at the Fermi level = 0.46 states/eV/atom
Raw total energy = -34.3 eV/f.u.

***

[4]
## Tb2AlSi (PBE-GGA)

Data for Tb2AlSi after structural relaxation.

abc: 3.9989 5.8640 5.8640
angles: 43.64 90.00 90.00
Closest atoms and distances in Å follow each position.
Positions (direct):
Tb (0.0000, 0.0000, 0.0000)  4 Si 3.04, 3 Al 3.14-3.17
Tb (0.5000, 0.2829, 0.2829)  4 Al 3.06, 3 Si 3.08-3.22
Al (0.0000, 0.7117, 0.7117)  2 Si 2.55
Si (0.5000, 0.5656, 0.5656)  2 Al 2.55

Output
SG = Amm2, No. 38
Crystal system = orthorhombic
Density of states at the Fermi level = 0.86 states/eV/atom
Raw total energy = -21.0 eV/f.u.

***

[5]
## Tb12Al7Si (PBE-GGA)

Data for Tb12Al7Si after structural relaxation.

abc: 11.2804 11.2804 11.2804
angles: 117.45 117.45 94.48
Closest atoms and distances in Å follow each position.
Positions (direct):
Tb (0.0627, 0.9269, 0.2631)  1 Si 3.00, 5 Al 3.06-3.34
Tb (0.0731, 0.3361, 0.1358)  1 Si 3.00, 5 Al 3.06-3.34
Tb (0.1476, 0.6476, 0.5000)  4 Al 3.00-3.08, 1 Tb 3.14
Tb (0.1639, 0.4269, 0.8642)  1 Si 3.00, 5 Al 3.06-3.34
Tb (0.1715, 0.3285, 0.5000)  5 Al 3.13-3.47
Tb (0.2004, 0.9373, 0.8642)  1 Si 3.00, 5 Al 3.06-3.34
Tb (0.2996, 0.1639, 0.7369)  1 Si 3.00, 5 Al 3.06-3.34
Tb (0.3285, 0.8285, 0.1570)  5 Al 3.13-3.47
Tb (0.3361, 0.2004, 0.2631)  1 Si 3.00, 5 Al 3.06-3.34
Tb (0.3524, 0.8524, 0.5000)  4 Al 3.00-3.08, 1 Tb 3.14
Tb (0.4269, 0.5627, 0.2631)  1 Si 3.00, 5 Al 3.06-3.34
Tb (0.4373, 0.7004, 0.8642)  1 Si 3.00, 5 Al 3.06-3.34
Tb (0.5627, 0.2996, 0.1358)  1 Si 3.00, 5 Al 3.06-3.34
Tb (0.5731, 0.4373, 0.7369)  1 Si 3.00, 5 Al 3.06-3.34
Tb (0.6476, 0.1476, 0.5000)  4 Al 3.00-3.08, 1 Tb 3.14
Tb (0.6639, 0.7996, 0.7369)  1 Si 3.00, 5 Al 3.06-3.34
Tb (0.6715, 0.1715, 0.8430)  5 Al 3.13-3.47
Tb (0.7004, 0.8361, 0.2631)  1 Si 3.00, 5 Al 3.06-3.34
Tb (0.7996, 0.0627, 0.1358)  1 Si 3.00, 5 Al 3.06-3.34
Tb (0.8285, 0.6715, 0.5000)  5 Al 3.13-3.47
Tb (0.8361, 0.5731, 0.1358)  1 Si 3.00, 5 Al 3.06-3.34
Tb (0.8524, 0.3524, 0.5000)  4 Al 3.00-3.08, 1 Tb 3.14
Tb (0.9269, 0.6639, 0.8642)  1 Si 3.00, 5 Al 3.06-3.34
Tb (0.9373, 0.0731, 0.7369)  1 Si 3.00, 5 Al 3.06-3.34
Al (0.0000, 0.0000, 0.0000)  8 Tb 3.22
Al (0.0256, 0.8825, 0.5000)  1 Al 2.76, 1 Tb 3.08
Al (0.1175, 0.6175, 0.1431)  1 Al 2.76, 1 Tb 3.08
Al (0.1189, 0.6189, 0.7378)  6 Tb 3.00-3.06
Al (0.3811, 0.1189, 0.5000)  6 Tb 3.00-3.06
Al (0.3825, 0.5256, 0.5000)  1 Al 2.76, 1 Tb 3.08
Al (0.4744, 0.9744, 0.8569)  1 Al 2.76, 1 Tb 3.08
Al (0.5000, 0.5000, 0.0000)  8 Tb 3.22
Al (0.5256, 0.0256, 0.1431)  1 Al 2.76, 1 Tb 3.08
Al (0.6175, 0.4744, 0.5000)  1 Al 2.76, 1 Tb 3.08
Al (0.6189, 0.8811, 0.5000)  6 Tb 3.00-3.06
Al (0.8811, 0.3811, 0.2622)  6 Tb 3.00-3.06
Al (0.8825, 0.3825, 0.8569)  1 Al 2.76, 1 Tb 3.08
Al (0.9744, 0.1175, 0.5000)  1 Al 2.76, 1 Tb 3.08
Si (0.2500, 0.2500, 0.0000)  8 Tb 3.00
Si (0.7500, 0.7500, 0.0000)  8 Tb 3.00

Output
SG = I4/mcm, No. 140
Crystal system = tetragonal
Density of states at the Fermi level = 0.74 states/eV/atom
Raw total energy = -94.7 eV/f.u.

***

[6]
## TbAl2Si (PBE-GGA)

Data for TbAl2Si after structural relaxation.

abc: 4.1759 4.1759 4.3369
angles: 90.00 90.00 90.00
Closest atoms and distances in Å follow each position.
Positions (direct):
Tb (0.0000, 0.0000, 0.0000)  4 Si 2.95, 8 Al 3.01
Al (0.0000, 0.5000, 0.5000)  4 Al 2.95, 4 Tb 3.01, 4 Si 3.01
Al (0.5000, 0.0000, 0.5000)  4 Al 2.95, 4 Tb 3.01, 4 Si 3.01
Si (0.5000, 0.5000, 0.0000)  4 Tb 2.95, 8 Al 3.01

Output
SG = P4/mmm, No. 123
Crystal system = tetragonal
Density of states at the Fermi level = 0.38 states/eV/atom
Raw total energy = -19.0 eV/f.u.

***

[7]
## Tb2AlSi (PBE-GGA)

Data for Tb2AlSi after structural relaxation.

abc: 9.7632 9.7632 9.7632
angles: 23.48 23.48 23.48
Closest atoms and distances in Å follow each position.
Positions (direct):
Tb (0.1106, 0.1106, 0.1106)  3 Si 2.79
Tb (0.8894, 0.8894, 0.8894)  3 Si 2.79
Al (0.0000, 0.0000, 0.0000)  2 Tb 3.15
Si (0.5000, 0.5000, 0.5000)  6 Tb 2.79

Output
SG = R-3m, No. 166
Crystal system = trigonal
Density of states at the Fermi level = 0.82 states/eV/atom
Raw total energy = -17.9 eV/f.u.

***

[8]
## Tb6AlSi2 (PBE-GGA)

Data for Tb6AlSi2 after structural relaxation.

abc: 8.4933 8.4933 8.4933
angles: 111.84 110.50 106.12
Closest atoms and distances in Å follow each position.
Positions (direct):
Tb (0.0427, 0.2431, 0.7996)  2 Si 2.96-3.24, 2 Al 3.15-3.26
Tb (0.1818, 0.2713, 0.4531)  3 Si 3.04-3.15, 1 Al 3.13
Tb (0.1818, 0.7287, 0.9106)  3 Si 3.04-3.15, 1 Al 3.13
Tb (0.3224, 0.0289, 0.7065)  3 Si 2.88-2.97
Tb (0.3224, 0.6159, 0.2935)  3 Si 2.88-2.97
Tb (0.4435, 0.2431, 0.2004)  2 Si 2.96-3.24, 2 Al 3.15-3.26
Tb (0.5565, 0.7569, 0.7996)  2 Si 2.96-3.24, 2 Al 3.15-3.26
Tb (0.6776, 0.3841, 0.7065)  3 Si 2.88-2.97
Tb (0.6776, 0.9711, 0.2935)  3 Si 2.88-2.97
Tb (0.8182, 0.2713, 0.0894)  3 Si 3.04-3.15, 1 Al 3.13
Tb (0.8182, 0.7287, 0.5469)  3 Si 3.04-3.15, 1 Al 3.13
Tb (0.9573, 0.7569, 0.2004)  2 Si 2.96-3.24, 2 Al 3.15-3.26
Al (0.0000, 0.0000, 0.0000)  8 Tb 3.13-3.15
Al (0.5000, 0.5000, 0.0000)  8 Tb 3.26-3.33
Si (0.1161, 0.6161, 0.5000)  1 Si 2.37
Si (0.3675, 0.0000, 0.3675)  1 Si 2.57
Si (0.6325, 0.0000, 0.6325)  1 Si 2.57
Si (0.8839, 0.3839, 0.5000)  1 Si 2.37

Output
SG = Immm, No. 71
Crystal system = orthorhombic
Density of states at the Fermi level = 0.76 states/eV/atom
Raw total energy = -46.9 eV/f.u.

***

[9]
## Tb2AlSi (PBE-GGA)

Data for Tb2AlSi after structural relaxation.

abc: 5.8645 3.9894 8.5206
angles: 90.00 107.64 90.00
Closest atoms and distances in Å follow each position.
Positions (direct):
Tb (0.2027, 0.2500, 0.4245)  3 Si 3.03-3.24, 4 Al 3.09-3.16
Tb (0.2811, 0.7500, 0.0667)  4 Si 3.01-3.23, 3 Al 3.08-3.18
Tb (0.7189, 0.2500, 0.9333)  4 Si 3.01-3.23, 3 Al 3.08-3.18
Tb (0.7973, 0.7500, 0.5755)  3 Si 3.03-3.24, 4 Al 3.09-3.16
Al (0.3610, 0.7500, 0.7141)  2 Si 2.56
Al (0.6390, 0.2500, 0.2859)  2 Si 2.56
Si (0.1424, 0.2500, 0.7898)  2 Al 2.56
Si (0.8576, 0.7500, 0.2102)  2 Al 2.56

Output
SG = P2_1/m, No. 11
Crystal system = monoclinic
Density of states at the Fermi level = 0.88 states/eV/atom
Raw total energy = -21.0 eV/f.u.

***

[10]
## TbAl2SiTc2 (PBE-GGA)

Data for TbAl2SiTc2 after structural relaxation.

abc: 4.5040 4.5040 5.5728
angles: 90.00 90.00 90.00
Closest atoms and distances in Å follow each position.
Positions (direct):
Tb (0.0000, 0.0000, 0.0000)  2 Si 2.79
Al (0.5000, 0.5000, 0.2440)  4 Tc 2.67, 2 Al 2.72-2.85
Al (0.5000, 0.5000, 0.7560)  4 Tc 2.67, 2 Al 2.72-2.85
Si (0.0000, 0.0000, 0.5000)  4 Tc 2.25
Tc (0.0000, 0.5000, 0.5000)  2 Si 2.25
Tc (0.5000, 0.0000, 0.5000)  2 Si 2.25

Output
SG = P4/mmm, No. 123
Crystal system = tetragonal
Density of states at the Fermi level = 0.71 states/eV/atom
Raw total energy = -40.2 eV/f.u.

***

[11]
## TbTmAlSi (PBE-GGA)

Data for TbTmAlSi after structural relaxation.

abc: 3.9709 5.8016 5.8016
angles: 43.66 90.00 90.00
Closest atoms and distances in Å follow each position.
Positions (direct):
Tb (0.0000, 0.0000, 0.0000)  3 Si 3.03-3.20, 4 Al 3.03
Tm (0.5000, 0.2825, 0.2825)  4 Si 3.01, 3 Al 3.11-3.14
Al (0.5000, 0.5711, 0.5711)  2 Si 2.55
Si (0.0000, 0.7190, 0.7190)  2 Al 2.55

Output
SG = Amm2, No. 38
Crystal system = orthorhombic
Density of states at the Fermi level = 0.79 states/eV/atom
Raw total energy = -20.8 eV/f.u.

***

[12]
## TbYAlSi (PBE-GGA)

Data for TbYAlSi after structural relaxation.

abc: 3.9948 5.8517 5.8517
angles: 43.64 90.00 90.00
Closest atoms and distances in Å follow each position.
Positions (direct):
Tb (0.0000, 0.0000, 0.0000)  4 Al 3.05, 3 Si 3.07-3.21
Y (0.5000, 0.2827, 0.2827)  4 Si 3.04, 3 Al 3.13-3.17
Al (0.5000, 0.5709, 0.5709)  2 Si 2.55
Si (0.0000, 0.7174, 0.7174)  2 Al 2.55

Output
SG = Amm2, No. 38
Crystal system = orthorhombic
Density of states at the Fermi level = 0.85 states/eV/atom
Raw total energy = -22.9 eV/f.u.

***

[13]
## Al2SiTc (PBE-GGA)

Data for Al2SiTc after structural relaxation.

abc: 3.2459 4.1210 4.2077
angles: 90.00 90.00 90.00
Closest atoms and distances in Å follow each position.
Positions (direct):
Al (0.0000, 0.0000, 0.0000)  4 Al 2.62, 4 Tc 2.66
Al (0.5000, 0.5000, 0.0000)  4 Al 2.62, 4 Si 2.66
Si (0.0000, 0.5000, 0.5000)  4 Tc 2.62, 4 Al 2.66
Tc (0.5000, 0.0000, 0.5000)  4 Si 2.62, 4 Al 2.66

Output
SG = Pmmm, No. 47
Crystal system = orthorhombic
Density of states at the Fermi level = 0.46 states/eV/atom
Raw total energy = -23.7 eV/f.u.